# Pr3ThAg4 PBE optimized geometry
# V = 26.83 A^3/atom
# Crystal system = orthorhombic
# Formation energy = -0.18 eV per atom
# Mass density = 8.405 g/cm3
# DOS at the Fermi energy = 8.1 states/eV/f.u.
data_Pr3ThAg4
_symmetry_space_group_name_H-M 'P m m m'
_symmetry_Int_Tables_number 47
_symmetry_space_group_name_Hall '-P 2 2'
_cell_length_a 3.694
_cell_length_b 5.390
_cell_length_c 10.780
_cell_angle_alpha 90.00
_cell_angle_beta 90.00
_cell_angle_gamma 90.00
loop_
_atom_site_label
_atom_site_fract_x
_atom_site_fract_y
_atom_site_fract_z
_atom_site_occupancy
Pr1 0.000 0.000 0.000 1
Pr2 0.000 0.500 0.251 1
Th1 0.000 0.000 0.500 1
Ag1 0.500 0.000 0.252 1
Ag2 0.500 0.500 0.000 1
Ag3 0.500 0.500 0.500 1

# Ce5HgRu2 PBE optimized geometry
# V = 29.09 A^3/atom
# Crystal system = orthorhombic
# Formation energy = 0.00 eV per atom
# Mass density = 7.873 g/cm3
# DOS at the Fermi energy = 22.3 states/eV/f.u.
data_Ce5HgRu2
_symmetry_space_group_name_H-M 'C m c m'
_symmetry_Int_Tables_number 63
_symmetry_space_group_name_Hall '-C 2c 2'
_cell_length_a 5.221
_cell_length_b 16.074
_cell_length_c 11.092
_cell_angle_alpha 90.00
_cell_angle_beta 90.00
_cell_angle_gamma 90.00
loop_
_atom_site_label
_atom_site_fract_x
_atom_site_fract_y
_atom_site_fract_z
_atom_site_occupancy
Ce1 0.000 0.011 0.126 1
Ce2 0.000 0.181 0.750 1
Ce3 0.000 0.347 0.003 1
Hg1 0.000 0.198 0.250 1
Ru1 0.000 0.163 0.524 1

# CaPm4YSe8 PBE optimized geometry
# VASP energy = -5.759 eV/atom
# V = 32.28 A^3/atom
# Crystal system = trigonal
# Mass density = 4.926 g/cm3
# DOS at the Fermi energy = 4.0 states/eV/f.u.
data_CaPm4YSe8
_symmetry_space_group_name_H-M 'R 3 m'
_symmetry_Int_Tables_number 160
_symmetry_space_group_name_Hall 'R 3 -2"'
_cell_length_a 8.6325
_cell_length_b 8.6325
_cell_length_c 21.0068
_cell_angle_alpha 90.00
_cell_angle_beta 90.00
_cell_angle_gamma 120.00
loop_
_atom_site_label
_atom_site_fract_x
_atom_site_fract_y
_atom_site_fract_z
_atom_site_occupancy
Ca1 0.0000 0.0000 0.0000 1
Pm1 0.0000 0.0000 0.2488 1
Pm2 0.1694 0.3388 0.4572 1
Y1 0.0000 0.0000 0.6268 1
Se1 0.0000 0.0000 0.3822 1
Se2 0.0000 0.0000 0.8664 1
Se3 0.0259 0.5129 0.3754 1
Se4 0.1796 0.3593 0.2072 1

# Te2RuSI PBE optimized geometry
# VASP energy = -3.054 eV/atom
# V = 29.76 A^3/atom
# Crystal system = tetragonal
# Mass density = 5.749 g/cm3
# DOS at the Fermi energy = 7.6 states/eV/f.u.
data_Te2RuSI
_symmetry_space_group_name_H-M 'P 4/m m m'
_symmetry_Int_Tables_number 123
_symmetry_space_group_name_Hall '-P 4 2'
_cell_length_a 5.217
_cell_length_b 5.217
_cell_length_c 5.469
_cell_angle_alpha 90.00
_cell_angle_beta 90.00
_cell_angle_gamma 90.00
loop_
_atom_site_label
_atom_site_fract_x
_atom_site_fract_y
_atom_site_fract_z
_atom_site_occupancy
Te1 0.000 0.500 0.000 1
Ru1 0.000 0.000 0.500 1
S1 0.500 0.500 0.000 1
I1 0.500 0.500 0.500 1

# K2CaCdSb2 PBE optimized geometry
# VASP energy = -2.841 eV/atom
# V = 36.00 A^3/atom
# Crystal system = orthorhombic
# Mass density = 3.645 g/cm3
data_K2CaCdSb2
_symmetry_space_group_name_H-M 'I b a m'
_symmetry_Int_Tables_number 72
_symmetry_space_group_name_Hall '-I 2 2c'
_cell_length_a 7.123
_cell_length_b 16.633
_cell_length_c 7.293
_cell_angle_alpha 90.00
_cell_angle_beta 90.00
_cell_angle_gamma 90.00
loop_
_atom_site_label
_atom_site_fract_x
_atom_site_fract_y
_atom_site_fract_z
_atom_site_occupancy
K1 0.230 0.177 0.000 1
Ca1 0.000 0.500 0.250 1
Cd1 0.000 0.000 0.250 1
Sb1 0.238 0.104 0.500 1

# Th3Pd2Pt2 PBE optimized geometry
# V = 23.88 A^3/atom
# Crystal system = cubic
# Formation energy = -0.99 eV per atom
# Mass density = 12.903 g/cm3
# DOS at the Fermi energy = 4.1 states/eV/f.u.
data_Th3Pd2Pt2
_symmetry_space_group_name_H-M 'I 21 3'
_symmetry_Int_Tables_number 199
_symmetry_space_group_name_Hall 'I 2b 2c 3'
_cell_length_a 8.745
_cell_length_b 8.745
_cell_length_c 8.745
_cell_angle_alpha 90.00
_cell_angle_beta 90.00
_cell_angle_gamma 90.00
loop_
_atom_site_label
_atom_site_fract_x
_atom_site_fract_y
_atom_site_fract_z
_atom_site_occupancy
Th1 0.000 0.250 0.869 1
Pd1 0.164 0.164 0.164 1
Pt1 0.078 0.422 0.578 1

# LaTmRe PBE optimized geometry
# V = 28.33 A^3/atom
# Crystal system = orthorhombic
# Formation energy = 0.13 eV per atom
# Mass density = 9.654 g/cm3
# DOS at the Fermi energy = 3.2 states/eV/f.u.
data_LaTmRe
_symmetry_space_group_name_H-M 'C m c e'
_symmetry_Int_Tables_number 64
_symmetry_space_group_name_Hall '-C 2ac 2'
_cell_length_a 7.058
_cell_length_b 12.497
_cell_length_c 7.707
_cell_angle_alpha 90.00
_cell_angle_beta 90.00
_cell_angle_gamma 90.00
loop_
_atom_site_label
_atom_site_fract_x
_atom_site_fract_y
_atom_site_fract_z
_atom_site_occupancy
La1 0.000 0.199 0.113 1
Tm1 0.250 0.037 0.750 1
Re1 0.000 0.096 0.465 1

# KP2 PBE optimized geometry
# V = 27.25 A^3/atom
# Crystal system = orthorhombic
# Formation energy = -0.27 eV per atom
# Mass density = 2.052 g/cm3
# DOS at the Fermi energy = 1.7 states/eV/f.u.
data_KP2
_symmetry_space_group_name_H-M 'P n n m'
_symmetry_Int_Tables_number 58
_symmetry_space_group_name_Hall '-P 2 2n'
_cell_length_a 3.362
_cell_length_b 7.692
_cell_length_c 6.321
_cell_angle_alpha 90.00
_cell_angle_beta 90.00
_cell_angle_gamma 90.00
loop_
_atom_site_label
_atom_site_fract_x
_atom_site_fract_y
_atom_site_fract_z
_atom_site_occupancy
K1 0.000 0.000 0.000 1
P1 0.249 0.089 0.500 1

# AcMgCuBi PBE optimized geometry
# V = 28.00 A^3/atom
# Crystal system = cubic
# Formation energy = -0.18 eV per atom
# Mass density = 7.766 g/cm3
# DOS at the Fermi energy = 3.6 states/eV/f.u.
data_AcMgCuBi
_symmetry_space_group_name_H-M 'F -4 3 m'
_symmetry_Int_Tables_number 216
_symmetry_space_group_name_Hall 'F -4 2 3'
_cell_length_a 7.652
_cell_length_b 7.652
_cell_length_c 7.652
_cell_angle_alpha 90.00
_cell_angle_beta 90.00
_cell_angle_gamma 90.00
loop_
_atom_site_label
_atom_site_fract_x
_atom_site_fract_y
_atom_site_fract_z
_atom_site_occupancy
Ac1 0.000 0.000 0.000 1
Mg1 0.000 0.000 0.500 1
Cu1 0.250 0.250 0.250 1
Bi1 0.250 0.250 0.750 1

# Li2BeAu4 PBE optimized geometry
# V = 15.62 A^3/atom
# Crystal system = monoclinic
# Formation energy = -0.29 eV per atom
# Mass density = 12.313 g/cm3
# DOS at the Fermi energy = 0.7 states/eV/f.u.
data_Li2BeAu4
_symmetry_space_group_name_H-M 'C 1 2/m 1'
_symmetry_Int_Tables_number 12
_symmetry_space_group_name_Hall '-C 2y'
_cell_length_a 7.344
_cell_length_b 4.300
_cell_length_c 7.345
_cell_angle_alpha 90.00
_cell_angle_beta 109.45
_cell_angle_gamma 90.00
loop_
_atom_site_label
_atom_site_fract_x
_atom_site_fract_y
_atom_site_fract_z
_atom_site_occupancy
Li1 0.248 0.000 0.244 1
Be1 0.000 0.000 0.500 1
Au1 0.123 0.000 0.868 1
Au2 0.129 0.500 0.381 1

# Ho4TmAl4 PBE optimized geometry
# V = 24.62 A^3/atom
# Crystal system = tetragonal
# Formation energy = -0.16 eV per atom
# Mass density = 7.017 g/cm3
# DOS at the Fermi energy = 7.8 states/eV/f.u.
data_Ho4TmAl4
_symmetry_space_group_name_H-M 'P 42/n'
_symmetry_Int_Tables_number 86
_cell_length_a 8.785
_cell_length_b 8.785
_cell_length_c 5.743
_cell_angle_alpha 90.00
_cell_angle_beta 90.00
_cell_angle_gamma 90.00
loop_
_symmetry_equiv_pos_as_xyz
'x,y,z'
'-x,-y,-z'
'-y,x+1/2,z+1/2'
'y,-x+1/2,-z+1/2'
'-x+1/2,-y+1/2,z'
'x+1/2,y+1/2,-z'
'y+1/2,-x,z+1/2'
'-y+1/2,x,-z+1/2'
loop_
_atom_site_label
_atom_site_fract_x
_atom_site_fract_y
_atom_site_fract_z
_atom_site_occupancy
Ho1 0.084 0.824 0.134 1
Tm1 0.250 0.250 0.750 1
Al1 0.056 0.154 0.350 1

# PuHf2Sc6 PBE optimized geometry
# V = 24.16 A^3/atom
# Crystal system = monoclinic
# Formation energy = 0.13 eV per atom
# Mass density = 6.650 g/cm3
# DOS at the Fermi energy = 14.6 states/eV/f.u.
data_PuHf2Sc6
_symmetry_space_group_name_H-M 'C 1 2/c 1'
_symmetry_Int_Tables_number 15
_symmetry_space_group_name_Hall '-C 2yc'
_cell_length_a 12.236
_cell_length_b 12.374
_cell_length_c 5.750
_cell_angle_alpha 90.00
_cell_angle_beta 92.67
_cell_angle_gamma 90.00
loop_
_atom_site_label
_atom_site_fract_x
_atom_site_fract_y
_atom_site_fract_z
_atom_site_occupancy
Pu1 0.000 0.037 0.250 1
Hf1 0.210 0.063 0.063 1
Sc1 0.099 0.431 0.575 1
Sc2 0.106 0.293 0.091 1
Sc3 0.141 0.176 0.602 1

Copy entry 8 word for word.
# KP2 PBE optimized geometry
# V = 27.25 A^3/atom
# Crystal system = orthorhombic
# Formation energy = -0.27 eV per atom
# Mass density = 2.052 g/cm3
# DOS at the Fermi energy = 1.7 states/eV/f.u.
data_KP2
_symmetry_space_group_name_H-M 'P n n m'
_symmetry_Int_Tables_number 58
_symmetry_space_group_name_Hall '-P 2 2n'
_cell_length_a 3.362
_cell_length_b 7.692
_cell_length_c 6.321
_cell_angle_alpha 90.00
_cell_angle_beta 90.00
_cell_angle_gamma 90.00
loop_
_atom_site_label
_atom_site_fract_x
_atom_site_fract_y
_atom_site_fract_z
_atom_site_occupancy
K1 0.000 0.000 0.000 1
P1 0.249 0.089 0.500 1

What is the formula in the second record?
Ce5HgRu2

Look up the V of the fourth one.
29.76 A^3/atom

The lowest V belongs to which entry?
Li2BeAu4